Compound: La5Bi2Rh
Source: Alexandria
Functional: GGA-PBE
Structure: optimized geometry

```
La5Bi2Rh
1.0
8.599 0.000 0.000
0.000 10.874 0.000
-4.199 0.000 5.618
La Bi Rh
10 4 2
direct
0.000 0.000 0.000
0.001 0.500 0.413
0.004 0.000 0.434
0.249 0.254 0.911
0.249 0.746 0.911
0.500 0.500 0.000
0.501 0.000 0.413
0.504 0.500 0.434
0.749 0.246 0.911
0.749 0.754 0.911
0.243 0.244 0.403
0.243 0.756 0.403
0.743 0.256 0.403
0.743 0.744 0.403
0.303 0.000 0.927
0.803 0.500 0.927
```

Output
Space-group type: Cm (8)
ΔE_f (meV/atom): -550
Final energy (eV per atom): -5.518
Total magnetic moment (μB/f.u.): 0.00
Offset from the most stable computed form (eV/atom): 0.243